Density functional theory data (PBE) for a geometry-optimized KI4Br structure.

Lattice parameters (Å, degrees): 9.310 9.312 9.393 66.28 64.37 76.94
Fractional coordinates of all 12 atoms:
K1 0.241 0.498 0.248
K2 0.759 0.502 0.752
I1 0.096 0.186 0.681
I2 0.100 0.738 0.508
I3 0.337 0.421 0.835
I4 0.381 0.728 0.808
I5 0.619 0.272 0.192
I6 0.663 0.579 0.165
I7 0.900 0.262 0.492
I8 0.904 0.814 0.319
Br1 0.293 0.115 0.866
Br2 0.707 0.885 0.134

Computed properties:
The energy relative to the elements, uncorrected is -50 kJ/mol of atoms. The calculation puts the density at 3.10 g/cm³. The value obtained for the total energy is -2.01 eV/atom.


Density functional theory data (PBE) for a geometry-optimized MnTl3Cl6 structure.

Lattice parameters (Å, degrees): 9.757 9.757 7.784 90.00 90.00 102.98
Fractional coordinates of all 20 atoms:
Mn1 0.173 0.827 0.500
Mn2 0.827 0.173 0.000
Tl1 0.105 0.304 0.460
Tl2 0.304 0.105 0.960
Tl3 0.406 0.594 0.987
Tl4 0.594 0.406 0.487
Tl5 0.696 0.895 0.460
Tl6 0.895 0.696 0.960
Cl1 0.042 0.617 0.566
Cl2 0.046 0.954 0.645
Cl3 0.216 0.784 0.228
Cl4 0.334 0.349 0.725
Cl5 0.349 0.334 0.225
Cl6 0.383 0.958 0.566
Cl7 0.617 0.042 0.066
Cl8 0.651 0.666 0.725
Cl9 0.666 0.651 0.225
Cl10 0.784 0.216 0.728
Cl11 0.954 0.046 0.145
Cl12 0.958 0.383 0.066

Computed properties:
The energy relative to the elements, uncorrected is -95 kJ/mol of atoms. The energy above the lowest structure with this stoichiometry comes out at 20 meV per atom. The calculation puts the density at 4.05 g/cm³. The value obtained for the total energy is -3.72 eV/atom.


Density functional theory data (PBE) for a geometry-optimized TbY12Tl3 structure.

Lattice parameters (Å, degrees): 4.883 4.883 19.990 90.00 90.00 90.00
Fractional coordinates of all 16 atoms:
Tb1 0.000 0.000 0.000
Y1 0.000 0.500 0.131
Y2 0.000 0.500 0.378
Y3 0.000 0.500 0.622
Y4 0.000 0.500 0.869
Y5 0.500 0.000 0.131
Y6 0.500 0.000 0.378
Y7 0.500 0.000 0.622
Y8 0.500 0.000 0.869
Y9 0.500 0.500 0.000
Y10 0.500 0.500 0.256
Y11 0.500 0.500 0.500
Y12 0.500 0.500 0.744
Tl1 0.000 0.000 0.257
Tl2 0.000 0.000 0.500
Tl3 0.000 0.000 0.743

Computed properties:
The formation energy is -12.87 kJ per mole of atoms. The calculation puts the density at 6.41 g/cm³. The value obtained for the total energy is -5.71 eV/atom.


Density functional theory data (PBE) for a geometry-optimized YTa2Ag structure.

Lattice parameters (Å, degrees): 4.831 4.831 4.831 60.00 60.00 60.00
Fractional coordinates of all 4 atoms:
Y1 0.000 0.000 0.000
Ta1 0.250 0.250 0.250
Ta2 0.750 0.750 0.750
Ag1 0.500 0.500 0.500

Computed properties:
The formation energy is 71.64 kJ per mole of atoms. The energy above the lowest structure with this stoichiometry comes out at 561 meV per atom. The calculation puts the density at 11.64 g/cm³. The value obtained for the total energy is -7.51 eV/atom.


Which formula does entry 4 have?
YTa2Ag


Number 2 is which compound?
MnTl3Cl6


density of number 2 (MnTl3Cl6)?
4.05 g/cm³


Which of these has the lowest density?
KI4Br